DFT (PBE) results for a geometry-optimized CdHg2N structure.

Structure (POSCAR):
```
CdHg2N
1.0
-1.4444 1.7305 2.7571
-4.5689 2.1929 -3.7703
-2.3228 -6.3549 2.7722
Cd Hg N
2 4 2
Direct
0.2784 0.8429 0.5516
0.7788 0.3427 0.5517
0.2779 0.0744 0.2416
0.7778 0.5744 0.2416
0.7778 0.1116 0.8618
0.2779 0.6115 0.8617
0.7763 0.8433 0.0515
0.2766 0.3433 0.0518
```

Properties
Energy relative to the elements, uncorrected   0.8001 eV/atom
Raw total energy   -1.6609 eV/atom
ΔE to the lowest computed polymorph   59.7 meV per atom
SG   C2 (5)
DOS(E_F)   2.48 states/eV/f.u.
Spin magnetization   0.0 μB/cell